i.
AcEuSb | PBE-GGA | relaxed

Cell and atoms, written as CIF:
```
data_AcEuSb
_cell_length_a 4.298
_cell_length_b 4.298
_cell_length_c 11.353
_cell_angle_alpha 90.00
_cell_angle_beta 90.00
_cell_angle_gamma 90.00
_symmetry_space_group_name_H-M 'I 4 m m'
_symmetry_Int_Tables_number 107
_symmetry_space_group_name_Hall 'I 4 -2'
loop_
_atom_site_label
_atom_site_fract_x
_atom_site_fract_y
_atom_site_fract_z
Ac1 0.000 0.000 0.000
Eu1 0.000 0.000 0.706
Sb1 0.000 0.000 0.345
```

Properties
calculated density: 7.93 Mg/m³
volume: 209.7 Å³ per cell

=====

ii.
AcEuSb | PBE-GGA | relaxed

Cell and atoms, written as CIF:
```
data_AcEuSb
_cell_length_a 5.2827
_cell_length_b 5.2827
_cell_length_c 4.5485
_cell_angle_alpha 90.00
_cell_angle_beta 90.00
_cell_angle_gamma 120.00
_symmetry_space_group_name_H-M 'P 3 m 1'
_symmetry_Int_Tables_number 156
loop_
_symmetry_equiv_pos_as_xyz
'x,y,z'
'-y,x-y,z'
'-x+y,-x,z'
'-y,-x,z'
'-x+y,y,z'
'x,x-y,z'
loop_
_atom_site_label
_atom_site_fract_x
_atom_site_fract_y
_atom_site_fract_z
Ac1 0.0000 0.0000 0.0000
Eu1 0.6667 0.3333 0.5298
Sb1 0.3333 0.6667 0.3963
```

Properties
calculated density: 7.56 Mg/m³
volume: 109.9 Å³ per cell

=====

Which structure wins on stability? i wins.

=====

i.
AcEu2Sc | PBE-GGA | relaxed

Cell and atoms, written as CIF:
```
data_AcEu2Sc
_cell_length_a 5.209
_cell_length_b 5.209
_cell_length_c 5.460
_cell_angle_alpha 90.00
_cell_angle_beta 90.00
_cell_angle_gamma 90.00
_symmetry_space_group_name_H-M 'P 4/m m m'
_symmetry_Int_Tables_number 123
_symmetry_space_group_name_Hall '-P 4 2'
loop_
_atom_site_label
_atom_site_fract_x
_atom_site_fract_y
_atom_site_fract_z
Ac1 0.000 0.000 0.000
Eu1 0.000 0.500 0.500
Sc1 0.500 0.500 0.000
```

Properties
calculated density: 6.46 Mg/m³
volume: 148.1 Å³ per cell

=====

ii.
AcEu2Sc | PBE-GGA | relaxed

Cell and atoms, written as CIF:
```
data_AcEu2Sc
_cell_length_a 3.6526
_cell_length_b 3.6526
_cell_length_c 38.7357
_cell_angle_alpha 90.00
_cell_angle_beta 90.00
_cell_angle_gamma 120.00
_symmetry_space_group_name_H-M 'R -3 m'
_symmetry_Int_Tables_number 166
_symmetry_space_group_name_Hall '-R 3 2"'
loop_
_atom_site_label
_atom_site_fract_x
_atom_site_fract_y
_atom_site_fract_z
Ac1 0.0000 0.0000 0.0000
Eu1 0.0000 0.0000 0.4184
Sc1 0.0000 0.0000 0.5000
```

Properties
calculated density: 6.41 Mg/m³
volume: 447.5 Å³ per cell

=====

iii.
AcEu2Sc | PBE-GGA | relaxed

Cell and atoms, written as CIF:
```
data_AcEu2Sc
_cell_length_a 3.935
_cell_length_b 3.935
_cell_length_c 9.520
_cell_angle_alpha 90.00
_cell_angle_beta 90.00
_cell_angle_gamma 90.00
_symmetry_space_group_name_H-M 'P 4/m m m'
_symmetry_Int_Tables_number 123
_symmetry_space_group_name_Hall '-P 4 2'
loop_
_atom_site_label
_atom_site_fract_x
_atom_site_fract_y
_atom_site_fract_z
Ac1 0.000 0.000 0.000
Eu1 0.500 0.500 0.286
Sc1 0.000 0.000 0.500
```

Properties
calculated density: 6.49 Mg/m³
volume: 147.4 Å³ per cell

=====

iv.
AcEu2Sc | PBE-GGA | relaxed

Cell and atoms, written as CIF:
```
data_AcEu2Sc
_cell_length_a 8.396
_cell_length_b 8.396
_cell_length_c 8.396
_cell_angle_alpha 90.00
_cell_angle_beta 90.00
_cell_angle_gamma 90.00
_symmetry_space_group_name_H-M 'F m -3 m'
_symmetry_Int_Tables_number 225
_symmetry_space_group_name_Hall '-F 4 2 3'
loop_
_atom_site_label
_atom_site_fract_x
_atom_site_fract_y
_atom_site_fract_z
Ac1 0.000 0.000 0.000
Eu1 0.250 0.250 0.250
Sc1 0.000 0.000 0.500
```

Properties
calculated density: 6.46 Mg/m³
volume: 591.8 Å³ per cell

=====

Which structure wins on stability? iii wins.

=====

i.
Ac2EuSc | PBE-GGA | relaxed

Cell and atoms, written as CIF:
```
data_Ac2EuSc
_cell_length_a 4.064
_cell_length_b 4.064
_cell_length_c 9.424
_cell_angle_alpha 90.00
_cell_angle_beta 90.00
_cell_angle_gamma 90.00
_symmetry_space_group_name_H-M 'P 4/m m m'
_symmetry_Int_Tables_number 123
_symmetry_space_group_name_Hall '-P 4 2'
loop_
_atom_site_label
_atom_site_fract_x
_atom_site_fract_y
_atom_site_fract_z
Ac1 0.000 0.000 0.217
Eu1 0.500 0.500 0.500
Sc1 0.500 0.500 0.000
```

Properties
calculated density: 6.94 Mg/m³
volume: 155.7 Å³ per cell

=====

ii.
Ac2EuSc | PBE-GGA | relaxed

Cell and atoms, written as CIF:
```
data_Ac2EuSc
_cell_length_a 5.543
_cell_length_b 5.543
_cell_length_c 4.914
_cell_angle_alpha 90.00
_cell_angle_beta 90.00
_cell_angle_gamma 90.00
_symmetry_space_group_name_H-M 'P 4/m m m'
_symmetry_Int_Tables_number 123
_symmetry_space_group_name_Hall '-P 4 2'
loop_
_atom_site_label
_atom_site_fract_x
_atom_site_fract_y
_atom_site_fract_z
Ac1 0.000 0.500 0.000
Eu1 0.000 0.000 0.500
Sc1 0.500 0.500 0.500
```

Properties
calculated density: 7.16 Mg/m³
volume: 151.0 Å³ per cell

=====

iii.
Ac2EuSc | PBE-GGA | relaxed

Cell and atoms, written as CIF:
```
data_Ac2EuSc
_cell_length_a 8.462
_cell_length_b 8.462
_cell_length_c 8.462
_cell_angle_alpha 90.00
_cell_angle_beta 90.00
_cell_angle_gamma 90.00
_symmetry_space_group_name_H-M 'F m -3 m'
_symmetry_Int_Tables_number 225
_symmetry_space_group_name_Hall '-F 4 2 3'
loop_
_atom_site_label
_atom_site_fract_x
_atom_site_fract_y
_atom_site_fract_z
Ac1 0.250 0.250 0.250
Eu1 0.000 0.000 0.000
Sc1 0.000 0.000 0.500
```

Properties
calculated density: 7.13 Mg/m³
volume: 606.0 Å³ per cell

=====

Which structure wins on stability? i wins.

=====

i.
AcEuSe2 | PBE-GGA | relaxed

Cell and atoms, written as CIF:
```
data_AcEuSe2
_cell_length_a 7.582
_cell_length_b 7.582
_cell_length_c 7.582
_cell_angle_alpha 90.00
_cell_angle_beta 90.00
_cell_angle_gamma 90.00
_symmetry_space_group_name_H-M 'F m -3 m'
_symmetry_Int_Tables_number 225
_symmetry_space_group_name_Hall '-F 4 2 3'
loop_
_atom_site_label
_atom_site_fract_x
_atom_site_fract_y
_atom_site_fract_z
Ac1 0.000 0.000 0.000
Eu1 0.000 0.000 0.500
Se1 0.250 0.250 0.250
```

Properties
calculated density: 8.18 Mg/m³
volume: 435.8 Å³ per cell

=====

ii.
AcEuSe2 | PBE-GGA | relaxed

Cell and atoms, written as CIF:
```
data_AcEuSe2
_cell_length_a 4.3852
_cell_length_b 4.3852
_cell_length_c 21.6606
_cell_angle_alpha 90.00
_cell_angle_beta 90.00
_cell_angle_gamma 120.00
_symmetry_space_group_name_H-M 'R -3 m'
_symmetry_Int_Tables_number 166
_symmetry_space_group_name_Hall '-R 3 2"'
loop_
_atom_site_label
_atom_site_fract_x
_atom_site_fract_y
_atom_site_fract_z
Ac1 0.0000 0.0000 0.0000
Eu1 0.0000 0.0000 0.5000
Se1 0.0000 0.0000 0.2463
```

Properties
calculated density: 7.41 Mg/m³
volume: 360.7 Å³ per cell

=====

Which structure wins on stability? ii wins.